# 1
Compound: TmCu3Pd
Source: the Alexandria database
Functional: PBE
Structure: optimized geometry

Calculated formation energy = 73 meV per atom

a b c (Å): 4.756 4.756 9.481
angles (deg): 104.53 104.53 90.00
Sites, in units of the cell vectors:
1 Tm 0.578 0.078 0.156
2 Tm 0.922 0.422 0.844
3 Cu 0.618 0.872 0.743
4 Cu 0.128 0.875 0.257
5 Cu 0.128 0.382 0.257
6 Cu 0.125 0.872 0.743
7 Cu 0.321 0.321 0.641
8 Cu 0.679 0.679 0.359
9 Pd 0.000 0.000 0.000
10 Pd 0.250 0.750 0.500

---

# 2
Compound: Tm5Cu2Pd2
Source: the Alexandria database
Functional: PBE
Structure: optimized geometry

Calculated formation energy = -511 meV per atom

a b c (Å): 7.133 7.104 8.685
angles (deg): 114.14 90.00 90.00
Sites, in units of the cell vectors:
1 Tm 0.000 0.000 0.000
2 Tm 0.500 0.500 0.000
3 Tm 0.823 0.819 0.283
4 Tm 0.177 0.464 0.283
5 Tm 0.323 0.964 0.283
6 Tm 0.677 0.319 0.283
7 Tm 0.177 0.181 0.717
8 Tm 0.823 0.536 0.717
9 Tm 0.677 0.036 0.717
10 Tm 0.323 0.681 0.717
11 Cu 0.620 0.880 0.000
12 Cu 0.380 0.120 0.000
13 Cu 0.120 0.620 0.000
14 Cu 0.880 0.380 0.000
15 Pd 0.000 0.213 0.427
16 Pd 0.500 0.713 0.427
17 Pd 0.000 0.787 0.573
18 Pd 0.500 0.287 0.573

---

calculated formation energy of number 1 (TmCu3Pd)? 73 meV per atom

---

The highest calculated formation energy belongs to which entry? TmCu3Pd